--- P ---
## TbSm3Ho4 (PBE)

Data for an optimized crystal structure of TbSm3Ho4.

Lattice parameters (Å, degrees): 11.3680 7.2835 6.2922 90.00 90.00 90.00
Last column: nearest neighbours and their distance in Å.
Fractional coordinates of all 16 atoms:
Tb1 0.0000 0.1280 0.0000  6 Ho 3.52-3.68, 6 Sm 3.53-3.65
Tb2 0.5000 0.8720 0.5000  6 Ho 3.52-3.68, 6 Sm 3.53-3.65
Sm1 0.0000 0.8732 0.5003  4 Sm 3.53-3.55, 6 Ho 3.54-3.67, 2 Tb 3.65
Sm2 0.2500 0.1266 0.3339  4 Sm 3.53-3.65, 2 Tb 3.53-3.55, 6 Ho 3.54-3.67
Sm3 0.2500 0.8734 0.8339  4 Sm 3.53-3.65, 2 Tb 3.53-3.55, 6 Ho 3.54-3.67
Sm4 0.5000 0.1268 0.0003  4 Sm 3.53-3.55, 6 Ho 3.54-3.67, 2 Tb 3.65
Sm5 0.7500 0.1266 0.3339  4 Sm 3.53-3.65, 2 Tb 3.53-3.55, 6 Ho 3.54-3.67
Sm6 0.7500 0.8734 0.8339  4 Sm 3.53-3.65, 2 Tb 3.53-3.55, 6 Ho 3.54-3.67
Ho1 0.0000 0.3777 0.5007  6 Ho 3.52-3.62, 4 Sm 3.54-3.67, 2 Tb 3.63-3.64
Ho2 0.0000 0.6230 0.0009  6 Ho 3.51-3.62, 4 Sm 3.54-3.64, 2 Tb 3.61-3.68
Ho3 0.2491 0.3773 0.8333  6 Ho 3.51-3.62, 1 Tb 3.52, 5 Sm 3.54-3.67
Ho4 0.2509 0.6227 0.3333  6 Ho 3.51-3.62, 1 Tb 3.52, 5 Sm 3.54-3.67
Ho5 0.5000 0.3770 0.5009  6 Ho 3.51-3.62, 4 Sm 3.54-3.64, 2 Tb 3.61-3.68
Ho6 0.5000 0.6223 0.0007  6 Ho 3.52-3.62, 4 Sm 3.54-3.67, 2 Tb 3.63-3.64
Ho7 0.7491 0.6227 0.3333  6 Ho 3.51-3.62, 1 Tb 3.52, 5 Sm 3.54-3.67
Ho8 0.7509 0.3773 0.8333  6 Ho 3.51-3.62, 1 Tb 3.52, 5 Sm 3.54-3.67

Output
As for the symmetry: Pmn2_1 (31). Its density of states at the Fermi level is 28.102 states/eV/cell.

--- Q ---
## TbSm3Ho4 (PBE)

Data for an optimized crystal structure of TbSm3Ho4.

Lattice parameters (Å, degrees): 11.8682 11.8682 6.7097 106.36 106.36 16.84
Last column: nearest neighbours and their distance in Å.
Fractional coordinates of all 8 atoms:
Tb1 0.0000 0.0000 0.0000  2 Tb 3.47, 4 Ho 3.68, 8 Sm 3.72-3.78
Sm1 0.3738 0.3738 0.6283  5 Ho 3.26-3.53, 3 Sm 3.31-3.47
Sm2 0.5000 0.5000 0.5000  2 Ho 3.31, 4 Sm 3.31-3.47
Sm3 0.6262 0.6262 0.3717  5 Ho 3.26-3.53, 3 Sm 3.31-3.47
Ho1 0.2401 0.2401 0.2338  9 Ho 3.47-3.88, 3 Sm 3.48-3.53
Ho2 0.3749 0.3749 0.1160  3 Sm 3.26-3.44, 5 Ho 3.47-3.49
Ho3 0.6251 0.6251 0.8840  3 Sm 3.26-3.44, 5 Ho 3.47-3.49
Ho4 0.7599 0.7599 0.7662  9 Ho 3.47-3.88, 3 Sm 3.48-3.53

Output
As for the symmetry: C2/m (12). Its density of states at the Fermi level is 14.096 states/eV/cell.

The computed energies, referenced to the most stable structure and given in eV/atom, are P 0.000; Q 0.145.

--- P ---
## TbSm6Ho12 (PBE)

Data for an optimized crystal structure of TbSm6Ho12.

Lattice parameters (Å, degrees): 8.6901 8.6901 8.6901 98.63 98.63 98.63
Last column: nearest neighbours and their distance in Å.
Fractional coordinates of all 19 atoms:
Tb1 0.0000 0.0000 0.0000  6 Sm 3.42
Sm1 0.0978 0.0978 0.6564  1 Sm 3.09, 1 Tb 3.42
Sm2 0.0978 0.6564 0.0978  1 Sm 3.09, 1 Tb 3.42
Sm3 0.3436 0.9022 0.9022  1 Sm 3.09, 1 Tb 3.42
Sm4 0.6564 0.0978 0.0978  1 Sm 3.09, 1 Tb 3.42
Sm5 0.9022 0.3436 0.9022  1 Sm 3.09, 1 Tb 3.42
Sm6 0.9022 0.9022 0.3436  1 Sm 3.09, 1 Tb 3.42
Ho1 0.0824 0.3555 0.3555  6 Ho 3.33-3.60, 2 Sm 3.69
Ho2 0.2425 0.5000 0.7575  6 Ho 3.33-3.52, 4 Sm 3.46-3.55
Ho3 0.2425 0.7575 0.5000  6 Ho 3.33-3.52, 4 Sm 3.46-3.55
Ho4 0.3555 0.0824 0.3555  6 Ho 3.33-3.60, 2 Sm 3.69
Ho5 0.3555 0.3555 0.0824  6 Ho 3.33-3.60, 2 Sm 3.69
Ho6 0.5000 0.2425 0.7575  6 Ho 3.33-3.52, 4 Sm 3.46-3.55
Ho7 0.5000 0.7575 0.2425  6 Ho 3.33-3.52, 4 Sm 3.46-3.55
Ho8 0.6445 0.6445 0.9176  6 Ho 3.33-3.60, 2 Sm 3.69
Ho9 0.6445 0.9176 0.6445  6 Ho 3.33-3.60, 2 Sm 3.69
Ho10 0.7575 0.2425 0.5000  6 Ho 3.33-3.52, 4 Sm 3.46-3.55
Ho11 0.7575 0.5000 0.2425  6 Ho 3.33-3.52, 4 Sm 3.46-3.55
Ho12 0.9176 0.6445 0.6445  6 Ho 3.33-3.60, 2 Sm 3.69

Output
As for the symmetry: R-3m (166). Its density of states at the Fermi level is 31.508 states/eV/cell.

--- Q ---
## TbSm6Ho12 (PBE)

Data for an optimized crystal structure of TbSm6Ho12.

Lattice parameters (Å, degrees): 8.6250 8.6250 8.6250 79.72 79.72 79.72
Last column: nearest neighbours and their distance in Å.
Fractional coordinates of all 19 atoms:
Tb1 0.0000 0.0000 0.0000  6 Sm 3.06
Sm1 0.1628 0.7688 0.7688  1 Tb 3.06, 3 Ho 3.31-3.38
Sm2 0.2312 0.2312 0.8372  1 Tb 3.06, 3 Ho 3.31-3.38
Sm3 0.2312 0.8372 0.2312  1 Tb 3.06, 3 Ho 3.31-3.38
Sm4 0.7688 0.1628 0.7688  1 Tb 3.06, 3 Ho 3.31-3.38
Sm5 0.7688 0.7688 0.1628  1 Tb 3.06, 3 Ho 3.31-3.38
Sm6 0.8372 0.2312 0.2312  1 Tb 3.06, 3 Ho 3.31-3.38
Ho1 0.1364 0.1364 0.4857  7 Ho 3.45-3.86, 5 Sm 3.54-3.64
Ho2 0.1364 0.4857 0.1364  7 Ho 3.45-3.86, 5 Sm 3.54-3.64
Ho3 0.1961 0.5148 0.5148  3 Sm 3.31-3.38, 5 Ho 3.45-3.52
Ho4 0.4852 0.4852 0.8039  3 Sm 3.31-3.38, 5 Ho 3.45-3.52
Ho5 0.4852 0.8039 0.4852  3 Sm 3.31-3.38, 5 Ho 3.45-3.52
Ho6 0.4857 0.1364 0.1364  7 Ho 3.45-3.86, 5 Sm 3.54-3.64
Ho7 0.5143 0.8636 0.8636  7 Ho 3.45-3.86, 5 Sm 3.54-3.64
Ho8 0.5148 0.1961 0.5148  3 Sm 3.31-3.38, 5 Ho 3.45-3.52
Ho9 0.5148 0.5148 0.1961  3 Sm 3.31-3.38, 5 Ho 3.45-3.52
Ho10 0.8039 0.4852 0.4852  3 Sm 3.31-3.38, 5 Ho 3.45-3.52
Ho11 0.8636 0.5143 0.8636  7 Ho 3.45-3.86, 5 Sm 3.54-3.64
Ho12 0.8636 0.8636 0.5143  7 Ho 3.45-3.86, 5 Sm 3.54-3.64

Output
As for the symmetry: R-3m (166). Its density of states at the Fermi level is 29.475 states/eV/cell.

The computed energies, referenced to the most stable structure and given in eV/atom, are P 0.093; Q 0.000.

--- P ---
## TbSmHoZn (PBE)

Data for an optimized crystal structure of TbSmHoZn.

Lattice parameters (Å, degrees): 3.5801 3.5801 8.6605 90.00 90.00 90.00
Last column: nearest neighbours and their distance in Å.
Fractional coordinates of all 4 atoms:
Tb1 0.0000 0.0000 0.0000  4 Zn 3.11
Sm1 0.5000 0.5000 0.2971  4 Sm 3.58, 4 Ho 3.59, 4 Tb 3.61
Ho1 0.0000 0.0000 0.5913  4 Zn 3.07
Zn1 0.5000 0.5000 0.7919  4 Ho 3.07, 4 Tb 3.11

Output
As for the symmetry: P4mm (99). Its density of states at the Fermi level is 4.718 states/eV/cell.

--- Q ---
## TbSmHoZn (PBE)

Data for an optimized crystal structure of TbSmHoZn.

Lattice parameters (Å, degrees): 5.3635 5.3635 5.3635 60.00 60.00 60.00
Last column: nearest neighbours and their distance in Å.
Fractional coordinates of all 4 atoms:
Tb1 0.0000 0.0000 0.0000  4 Zn 3.28, 4 Ho 3.28
Sm1 0.5000 0.5000 0.5000  4 Zn 3.28, 4 Ho 3.28
Ho1 0.2500 0.2500 0.2500  4 Tb 3.28, 4 Sm 3.28
Zn1 0.7500 0.7500 0.7500  4 Tb 3.28, 4 Sm 3.28

Output
As for the symmetry: F-43m (216). Its density of states at the Fermi level is 5.019 states/eV/cell.

The computed energies, referenced to the most stable structure and given in eV/atom, are P 0.000; Q 0.201.

--- P ---
## SmHo3Tc (PBE)

Data for an optimized crystal structure of SmHo3Tc.

Lattice parameters (Å, degrees): 4.9908 8.1780 6.8335 90.00 90.00 90.00
Last column: nearest neighbours and their distance in Å.
Fractional coordinates of all 10 atoms:
Sm1 0.2500 0.2500 0.0809  1 Tc 2.77
Sm2 0.7500 0.7500 0.9191  1 Tc 2.77
Ho1 0.2500 0.5472 0.6780  1 Tc 2.76
Ho2 0.2500 0.7500 0.2505  2 Tc 3.08, 2 Ho 3.36, 2 Sm 3.37
Ho3 0.2500 0.9528 0.6780  1 Tc 2.76
Ho4 0.7500 0.0472 0.3220  1 Tc 2.76
Ho5 0.7500 0.2500 0.7495  2 Tc 3.08, 2 Ho 3.36, 2 Sm 3.37
Ho6 0.7500 0.4528 0.3220  1 Tc 2.76
Tc1 0.2500 0.2500 0.4858  4 Ho 2.76-3.08, 1 Sm 2.77
Tc2 0.7500 0.7500 0.5142  4 Ho 2.76-3.08, 1 Sm 2.77

Output
As for the symmetry: Pmmn (59). Its density of states at the Fermi level is 9.929 states/eV/cell.

--- Q ---
## SmHo3Tc (PBE)

Data for an optimized crystal structure of SmHo3Tc.

Lattice parameters (Å, degrees): 8.6349 3.7753 8.7042 90.00 101.95 90.00
Last column: nearest neighbours and their distance in Å.
Fractional coordinates of all 10 atoms:
Sm1 0.1694 0.2500 0.0120  4 Sm 3.45-3.78, 8 Ho 3.53-3.81, 1 Tc 3.84
Sm2 0.8306 0.7500 0.9880  4 Sm 3.45-3.78, 8 Ho 3.53-3.81, 1 Tc 3.84
Ho1 0.0259 0.7500 0.6642  3 Tc 2.92-3.02
Ho2 0.3417 0.7500 0.3882  2 Tc 2.81
Ho3 0.4228 0.7500 0.8176  2 Tc 2.83
Ho4 0.5772 0.2500 0.1824  2 Tc 2.83
Ho5 0.6583 0.2500 0.6118  2 Tc 2.81
Ho6 0.9741 0.2500 0.3358  3 Tc 2.92-3.02
Tc1 0.2629 0.2500 0.5991  7 Ho 2.81-3.02
Tc2 0.7371 0.7500 0.4009  7 Ho 2.81-3.02

Output
As for the symmetry: P2_1/m (11). Its density of states at the Fermi level is 10.324 states/eV/cell.

The computed energies, referenced to the most stable structure and given in eV/atom, are P 0.062; Q 0.000.